The following is a DFT calculation (PBE-GGA) of a relaxed structure of Ac3NdPb2C.

Geometry as CIF:
```
data_Ac3NdPb2C
_space_group_name_H-M_alt 'P 1'
_space_group_IT_number 1
_space_group_name_Hall 'P 1'
_cell_length_a 5.174
_cell_length_b 5.290
_cell_length_c 9.562
_cell_angle_alpha 106.06
_cell_angle_beta 105.70
_cell_angle_gamma 90.00
loop_
_atom_site_label
_atom_site_type_symbol
_atom_site_fract_x
_atom_site_fract_y
_atom_site_fract_z
Ac1 Ac 0.000 0.500 0.000
Ac2 Ac 0.163 0.163 0.326
Ac3 Ac 0.837 0.837 0.674
Nd1 Nd 0.500 0.000 0.000
Pb1 Pb 0.638 0.638 0.275
Pb2 Pb 0.362 0.362 0.725
C1 C 0.000 0.000 0.000
```

Calculated values
- Space group: Immm (71)
- Formation enthalpy at 0 K: -0.380 eV per atom